A geometry-optimized MnIn3Pb2S8 structure. Source: the Alexandria database, functional GGA-PBE.

Summary:
- Energy: -0.168 Ha/atom
- V: 24.85 Å³/atom
- ΔE_f (raw): -0.44 eV/atom

```
MnIn3Pb2S8
1.0
-6.1404 -2.3263 -4.2662
-5.7859 -4.0683 3.3599
-7.0814 3.4597 1.1195
Mn In Pb S
1 3 2 8
Direct
0.8681 0.8681 0.3956
0.4971 0.0237 0.9821
0.0237 0.4971 0.9821
0.4971 0.4971 0.9821
0.0329 0.0329 0.9014
0.5150 0.5150 0.4551
0.2649 0.2649 0.2052
0.7413 0.7413 0.7762
0.2667 0.2667 0.7369
0.7296 0.2667 0.7369
0.2667 0.7296 0.7369
0.7681 0.2533 0.2104
0.2533 0.7681 0.2104
0.7681 0.7681 0.2104
```


A geometry-optimized MnIn4PbSe8 structure. Source: the Alexandria database, functional GGA-PBE.

Summary:
- Energy: -0.153 Ha/atom
- V: 28.27 Å³/atom
- ΔE_f (raw): -0.46 eV/atom

```
MnIn4PbSe8
1.0
-2.5731 -0.2995 -7.9616
4.8891 -3.4562 -5.8523
-1.9945 -7.0485 -3.4925
Mn In Pb Se
1 4 1 8
Direct
0.9990 0.9990 0.0031
0.6198 0.6198 0.1407
0.0033 0.4929 0.5004
0.4929 0.0033 0.5004
0.0033 0.0033 0.5004
0.3907 0.3907 0.8278
0.2216 0.8028 0.7540
0.8028 0.2216 0.7540
0.2216 0.2216 0.7540
0.2445 0.2445 0.2664
0.7631 0.2160 0.2577
0.2160 0.7631 0.2577
0.7631 0.7631 0.2577
0.7582 0.7582 0.7253
```


A geometry-optimized MnInPb2Se5 structure. Source: the Alexandria database, functional GGA-PBE.

Summary:
- Energy: -0.167 Ha/atom
- V: 27.82 Å³/atom
- ΔE_f (raw): -0.47 eV/atom

```
MnInPb2Se5
1.0
-3.8765 -0.7333 0.1732
3.5581 -8.7896 -2.5998
1.1866 -3.2748 12.6959
Mn In Pb Se
2 2 4 10
Direct
0.7736 0.5472 0.5321
0.2264 0.4528 0.0321
0.5682 0.1364 0.9516
0.4318 0.8636 0.4516
0.8891 0.7783 0.7910
0.1131 0.2262 0.6407
0.1109 0.2217 0.2910
0.8869 0.7738 0.1407
0.3576 0.7152 0.9875
0.7015 0.4031 0.9097
0.5039 0.0079 0.7796
0.2766 0.5532 0.6581
0.9588 0.9175 0.5736
0.6424 0.2848 0.4875
0.2985 0.5969 0.4097
0.4961 0.9921 0.2796
0.7234 0.4468 0.1581
0.0412 0.0825 0.0736
```


A geometry-optimized MnInTe5Pb2 structure. Source: the Alexandria database, functional GGA-PBE.

Summary:
- Energy: -0.152 Ha/atom
- V: 34.09 Å³/atom
- ΔE_f (raw): -0.25 eV/atom

```
MnInTe5Pb2
1.0
4.2397 0.0000 0.0000
-2.1199 10.3393 0.0000
0.0000 0.0000 13.9962
Mn In Te Pb
2 2 10 4
Direct
0.7688 0.5376 0.5369
0.2312 0.4624 0.0369
0.5733 0.1466 0.9516
0.4267 0.8534 0.4516
0.3607 0.7214 0.9851
0.7068 0.4135 0.9119
0.5073 0.0145 0.7772
0.2751 0.5502 0.6658
0.9601 0.9203 0.5734
0.6393 0.2786 0.4851
0.2932 0.5865 0.4119
0.4927 0.9855 0.2772
0.7249 0.4498 0.1658
0.0399 0.0797 0.0734
0.8939 0.7877 0.7841
0.1130 0.2260 0.6379
0.1061 0.2123 0.2841
0.8870 0.7740 0.1379
```


A geometry-optimized MnIn2Pd4 structure. Source: the Alexandria database, functional GGA-PBE.

Summary:
- Energy: -0.197 Ha/atom
- Energy of formation from the pure elements: -0.313 eV per atom
- V: 18.07 Å³/atom

```
MnIn2Pd4
1.0
5.0888 -0.6018 -2.1584
-2.7104 4.7043 -1.2000
-0.3467 0.6018 5.5168
Mn In Pd
1 2 4
Direct
0.0000 0.0000 0.0000
0.5000 0.5000 0.0000
0.5000 0.0000 0.5000
0.5000 0.0000 0.0000
0.5000 0.5000 0.5000
0.0000 0.0000 0.5000
0.0000 0.5000 0.0000
```


A geometry-optimized MnIn4Pd7 structure. Source: the Alexandria database, functional GGA-PBE.

Summary:
- Energy: -0.183 Ha/atom
- Energy of formation from the pure elements: -0.273 eV per atom
- V: 18.70 Å³/atom

```
MnIn4Pd7
1.0
-4.6646 1.1427 0.7377
-1.9311 -2.7641 8.0727
-0.7940 5.2603 2.8323
Mn In Pd
1 4 7
Direct
0.0000 0.0000 0.0000
0.5874 0.2256 0.5995
0.4126 0.7744 0.4005
0.7469 0.6713 0.8349
0.2531 0.3287 0.1651
0.7948 0.9158 0.4947
0.2052 0.0842 0.5053
0.0756 0.6841 0.1647
0.9244 0.3159 0.8353
0.3633 0.5252 0.7483
0.5000 0.0000 0.0000
0.6367 0.4748 0.2517
```


A geometry-optimized MnIn2Pd8 structure. Source: the Alexandria database, functional GGA-PBE.

Summary:
- Energy: -0.200 Ha/atom
- Energy of formation from the pure elements: -0.343 eV per atom
- V: 16.18 Å³/atom

```
MnIn2Pd8
1.0
4.1335 0.0000 0.0000
0.0000 6.3465 0.3178
-2.0667 -2.4497 6.6640
Mn In Pd
1 2 8
Direct
0.5000 0.0000 0.0000
0.7797 0.3429 0.5594
0.2203 0.6571 0.4406
0.4072 0.5503 0.8143
0.6742 0.9110 0.3484
0.8608 0.8151 0.7215
0.9614 0.2710 0.9228
0.1392 0.1849 0.2785
0.3258 0.0890 0.6516
0.5928 0.4497 0.1857
0.0386 0.7290 0.0772
```


A geometry-optimized Mn2In2Pd7 structure. Source: the Alexandria database, functional GGA-PBE.

Summary:
- Energy: -0.201 Ha/atom
- Energy of formation from the pure elements: 0.012 eV per atom
- V: 18.88 Å³/atom

```
Mn2In2Pd7
1.0
-5.1687 -2.6849 -1.6315
1.9254 -0.4392 -5.3700
3.0306 -5.0167 1.4948
Mn In Pd
2 2 7
Direct
0.7215 0.0000 0.2785
0.2785 0.0000 0.7215
0.8107 0.5000 0.8107
0.1893 0.5000 0.1893
0.0000 0.2566 0.5001
0.5001 0.7434 0.0000
0.0000 0.7434 0.4999
0.4999 0.2566 0.0000
0.0000 0.0000 0.0000
0.5000 0.7368 0.5000
0.5000 0.2632 0.5000
```


A geometry-optimized Mn6InPd12 structure. Source: the Alexandria database, functional GGA-PBE.

Summary:
- Energy: -0.227 Ha/atom
- Energy of formation from the pure elements: 0.130 eV per atom
- V: 14.89 Å³/atom

```
Mn6InPd12
1.0
6.6499 0.0033 0.0040
-1.0049 6.5735 0.0040
-1.0049 -1.1708 6.4684
Mn In Pd
6 1 12
Direct
0.5271 0.7043 0.2941
0.7059 0.4729 0.2957
0.2957 0.7059 0.4729
0.4729 0.2957 0.7059
0.2941 0.5271 0.7043
0.7043 0.2941 0.5271
0.0000 0.0000 0.0000
0.9381 0.6346 0.6710
0.6710 0.9381 0.6346
0.6346 0.6710 0.9381
0.0619 0.3654 0.3290
0.3290 0.0619 0.3654
0.3654 0.3290 0.0619
0.9246 0.8388 0.3403
0.1612 0.6597 0.0754
0.6597 0.0754 0.1612
0.0754 0.1612 0.6597
0.8388 0.3403 0.9246
0.3403 0.9246 0.8388
```


A geometry-optimized MnIn6Pd12 structure. Source: the Alexandria database, functional GGA-PBE.

Summary:
- Energy: -0.184 Ha/atom
- Energy of formation from the pure elements: -0.374 eV per atom
- V: 17.95 Å³/atom

```
MnIn6Pd12
1.0
-5.4638 1.1315 4.8582
5.3022 -3.6897 3.6068
2.7915 6.6557 -1.6263
Mn In Pd
1 6 12
Direct
0.0000 0.0000 0.0000
0.7913 0.9085 0.5330
0.4670 0.2087 0.0915
0.0915 0.4670 0.2087
0.2087 0.0915 0.4670
0.5330 0.7913 0.9085
0.9085 0.5330 0.7913
0.8166 0.5178 0.4012
0.4012 0.8166 0.5178
0.5178 0.4012 0.8166
0.1834 0.4822 0.5988
0.5988 0.1834 0.4822
0.4822 0.5988 0.1834
0.8732 0.7328 0.1571
0.2672 0.8429 0.1268
0.8429 0.1268 0.2672
0.1268 0.2672 0.8429
0.7328 0.1571 0.8732
0.1571 0.8732 0.7328
```